Density functional theory data (PBE) for a relaxed structure of Tb2MnCd.

a = 5.1798 Å, b = 5.1798 Å, c = 5.1798 Å
α = 60.00°, β = 60.00°, γ = 60.00°
Element x y z (fractional)
Tb 0.2500 0.2500 0.2500
Tb 0.7500 0.7500 0.7500
Mn 0.0000 0.0000 0.0000
Cd 0.5000 0.5000 0.5000

Output
The excess energy over the best structure of this formula in the dataset comes out at 56 meV/atom. The calculated volume is 24.6 Å³ per atom. Its space group is Fm-3m, No. 225. The formation energy comes out at -0.0133 eV per atom.